Entry 1:
# ZrBeFeSb

ZrBeFeSb after structural relaxation (GGA-PBE, the Open Quantum Materials Database).

Distance to the lowest polymorph of the same formula (meV/atom): 0

Cell: 6.2686 6.2686 6.2686 Å, 90.00 90.00 90.00°
Space group F-43m (No. 216)
Unique sites:
Zr  0.0000  0.0000  0.0000
Be  0.2500  0.2500  0.2500
Fe  0.2500  0.2500  0.7500
Sb  0.0000  0.0000  0.5000

---

Entry 2:
# Sc2BeFe

Sc2BeFe after structural relaxation (GGA-PBE, the Open Quantum Materials Database).

E_tot (eV/cell): -95.92

Cell: 6.1663 6.1663 6.1663 Å, 90.00 90.00 90.00°
Space group F-43m (No. 216)
Unique sites:
Sc  0.0000  0.0000  0.0000
Sc  0.2500  0.2500  0.2500
Be  0.0000  0.0000  0.5000
Fe  0.2500  0.2500  0.7500

---

Entry 3:
# Be2FeSi

Be2FeSi after structural relaxation (GGA-PBE, the Open Quantum Materials Database).

E_tot (eV/cell): -86.36

Cell: 5.3378 5.3378 5.3378 Å, 90.00 90.00 90.00°
Space group F-43m (No. 216)
Unique sites:
Be  0.0000  0.0000  0.0000
Be  0.2500  0.2500  0.2500
Fe  0.2500  0.2500  0.7500
Si  0.0000  0.0000  0.5000

---

Entry 4:
# BeFe2Si

BeFe2Si after structural relaxation (GGA-PBE, the Open Quantum Materials Database).

E_tot (eV/cell): -52.21

Cell: 3.7749 3.7749 6.9348 Å, 90.00 90.00 120.00°
Space group P6_3/mmc (No. 194)
Unique sites:
Be  0.3333  0.6667  0.2500
Fe  0.3333  0.6667  0.5812
Si  0.0000  0.0000  0.2500

---

Entry 5:
# BeFe2Si

BeFe2Si after structural relaxation (GGA-PBE, the Open Quantum Materials Database).

E_tot (eV/cell): -27.25

Cell: 3.7924 3.7924 2.7174 Å, 90.00 90.00 90.00°
Space group P4/mmm (No. 123)
Unique sites:
Be  0.0000  0.0000  0.0000
Fe  0.0000  0.5000  0.5000
Si  0.5000  0.5000  0.0000

---

Entry 6:
# Be2FeSi

Be2FeSi after structural relaxation (GGA-PBE, the Open Quantum Materials Database).

E_tot (eV/cell): -86.36

Cell: 5.3392 5.3392 5.3392 Å, 90.00 90.00 90.00°
Space group F-43m (No. 216)
Unique sites:
Be  0.0000  0.0000  0.0000
Be  0.2500  0.2500  0.2500
Fe  0.2500  0.2500  0.7500
Si  0.0000  0.0000  0.5000

---

Entry 7:
# BeFe2Si

BeFe2Si after structural relaxation (GGA-PBE, the Open Quantum Materials Database).

E_tot (eV/cell): -104.18

Cell: 6.1844 6.7131 4.1075 Å, 90.00 90.00 90.00°
Space group Pnma (No. 62)
Unique sites:
Be  0.1193  0.2500  0.0832
Fe  0.1773  0.5648  0.9035
Si  0.0341  0.7500  0.4039

---

Entry 8:
# BeFe2Si

BeFe2Si after structural relaxation (GGA-PBE, the Open Quantum Materials Database).

E_tot (eV/cell): -108.73

Cell: 5.3755 5.3755 5.3755 Å, 90.00 90.00 90.00°
Space group Pm-3m (No. 221)
Unique sites:
Be  0.0000  0.0000  0.0000
Be  0.0000  0.0000  0.5000
Fe  0.2457  0.2457  0.2457
Si  0.0000  0.5000  0.5000
Si  0.5000  0.5000  0.5000